1.
Crystalline TlSbTe2I at its relaxed geometry, computed with PBE.

* uncorrected formation energy: 0.030 eV per atom
* energy relative to the lowest polymorph listed for this composition: 0.000 eV/atom

Cell: 5.7914 5.7914 6.1477 Å, 90.00 90.00 90.00°
Atoms (fractional coordinates):
1 I 0.0000 0.0000 0.5000
2 Sb 0.0000 0.0000 0.0000
3 Tl 0.5000 0.5000 0.5000
4 Te 0.0000 0.5000 0.0000
5 Te 0.5000 0.0000 0.0000

***

2.
Crystalline TlSbTe2I at its relaxed geometry, computed with PBE.

* uncorrected formation energy: 0.675 eV per atom
* energy relative to the lowest polymorph listed for this composition: 0.645 eV/atom

Cell: 5.7208 5.7208 5.9703 Å, 90.00 90.00 90.00°
Atoms (fractional coordinates):
1 I 0.5000 0.5000 0.5000
2 Sb 0.0000 0.0000 0.5000
3 Tl 0.0000 0.0000 0.0000
4 Te 0.0000 0.5000 0.0000
5 Te 0.5000 0.0000 0.0000

***

3.
Crystalline TlSbTe2I at its relaxed geometry, computed with PBE.

* uncorrected formation energy: 0.607 eV per atom
* energy relative to the lowest polymorph listed for this composition: 0.577 eV/atom

Cell: 5.7880 5.7880 5.8076 Å, 90.00 90.00 90.00°
Atoms (fractional coordinates):
1 I 0.0000 0.0000 0.5000
2 Sb 0.5000 0.5000 0.5000
3 Tl 0.0000 0.0000 0.0000
4 Te 0.0000 0.5000 0.0000
5 Te 0.5000 0.0000 0.0000

***

M_tot values (in μB per formula unit) by entry order: 0.00, 0.00, 0.00.